(1)
Below is an optimized crystal structure of TlCdCuAu, with properties calculated at the GGA-PBE level.

Summary:
SG: F-43m (216)
Uncorrected energy in eV/atom: -2.434

Geometry as extended XYZ:
```
4
Lattice="0.3407 -3.9019 2.7874 -3.8475 -2.7951 0.7030 -0.1789 -4.3826 -1.9675" Properties=species:S:1:pos:R:3 pbc="T T T"
Tl 0.0000 0.0000 0.0000
Cd -1.8429 -5.5398 0.7614
Cu -2.7643 -8.3097 1.1421
Au -0.9214 -2.7699 0.3807
```


(2)
Below is an optimized crystal structure of PmPrFe, with properties calculated at the GGA-PBE level.

Summary:
SG: F-43m (216)
Uncorrected energy in eV/atom: -5.660

Geometry as extended XYZ:
```
3
Lattice="0.9461 1.0844 4.5961 -3.1247 -1.2225 3.4550 1.1071 -3.4973 3.1207" Properties=species:S:1:pos:R:3 pbc="T T T"
Pm -0.2679 -0.9088 2.7930
Fe 0.0000 0.0000 0.0000
Pr -0.8036 -2.7265 8.3789
```


(3)
Below is an optimized crystal structure of BiMo2Pd, with properties calculated at the GGA-PBE level.

Summary:
SG: F-43m (216)
Uncorrected energy in eV/atom: -7.189

Geometry as extended XYZ:
```
4
Lattice="-0.8521 -2.0055 4.1345 0.9284 2.3119 3.9542 -3.5026 1.5562 2.6745" Properties=species:S:1:pos:R:3 pbc="T T T"
Mo -2.5697 1.3969 8.0724
Mo 0.0000 0.0000 0.0000
Bi -1.7131 0.9313 5.3816
Pd -0.8566 0.4656 2.6908
```


(4)
Below is an optimized crystal structure of SmErAsO, with properties calculated at the GGA-PBE level.

Summary:
SG: Pmc2_1 (26)
Uncorrected energy in eV/atom: -6.699

Geometry as extended XYZ:
```
8
Lattice="4.2575 0.0000 0.0000 0.0000 7.5182 0.0000 0.0000 0.0000 6.0440" Properties=species:S:1:pos:R:3 pbc="T T T"
As 0.0000 1.3276 5.5956
Er 2.1287 4.5626 3.1340
As 0.0000 6.1906 2.5736
Sm 0.0000 5.9781 5.6527
Sm 0.0000 1.5402 2.6308
Er 2.1287 2.9556 0.1120
O 2.1287 4.9927 5.2847
O 2.1287 2.5255 2.2627
```


(5)
Below is an optimized crystal structure of GdTm2Sb3, with properties calculated at the GGA-PBE level.

Summary:
SG: P-3m1 (164)
Uncorrected energy in eV/atom: -5.426

Geometry as extended XYZ:
```
6
Lattice="4.3636 0.0000 0.0000 -2.1818 3.7790 0.0000 0.0000 0.0000 10.6788" Properties=species:S:1:pos:R:3 pbc="T T T"
Sb 2.1818 1.2597 3.5049
Tm 2.1818 1.2597 8.9213
Sb 0.0000 0.0000 0.0000
Gd 0.0000 0.0000 5.3394
Sb 0.0000 2.5193 7.1738
Tm 0.0000 2.5193 1.7575
```


(6)
Below is an optimized crystal structure of NdGa2Hg, with properties calculated at the GGA-PBE level.

Summary:
SG: Amm2 (38)
Uncorrected energy in eV/atom: -3.243

Geometry as extended XYZ:
```
8
Lattice="4.6880 0.0000 0.0000 0.0000 3.2981 5.8371 0.0000 -3.2981 5.8371" Properties=species:S:1:pos:R:3 pbc="T T T"
Nd 2.3440 0.0000 3.7993
Hg 0.0000 -1.7192 4.9526
Ga 0.0000 0.0000 1.7812
Ga 2.3440 -1.8922 6.7058
Hg 0.0000 1.7192 4.9526
Nd 0.0000 0.0000 7.8046
Ga 2.3440 0.0000 9.9949
Ga 2.3440 1.8922 6.7058
```


> Among the records above, which one has the highest uncorrected energy?

TlCdCuAu